## one
Below is crystalline SrMnRu2 at its relaxed geometry, with properties calculated at the PBE-GGA level.

Total moment, μB/cell: 8.1

abc: 5.7886 9.2931 2.8528
angles: 90.00 114.03 90.00
Space group C2/m (No. 12)
One atom of each set of equivalent atoms:
Sr: 0.0000 0.0000 0.0000 (multiplicity 2)
Mn: 0.0000 0.5000 0.0000 (multiplicity 2)
Ru: 0.2500 0.2500 0.5000 (multiplicity 4)

## two
Below is crystalline SrMnRu2 at its relaxed geometry, with properties calculated at the PBE-GGA level.

Total moment, μB/cell: 3.8

abc: 3.1136 4.6768 4.8576
angles: 90.00 90.00 90.00
Space group Pmmm (No. 47)
One atom of each set of equivalent atoms:
Sr: 0.0000 0.0000 0.0000 (multiplicity 1)
Mn: 0.5000 0.0000 0.5000 (multiplicity 1)
Ru: 0.0000 0.5000 0.5000 (multiplicity 1)
Ru: 0.5000 0.5000 0.0000 (multiplicity 1)

Verdict on stability: two comes out at the bottom.

## one
Below is crystalline SrMnRu2 at its relaxed geometry, with properties calculated at the PBE-GGA level.

Total moment, μB/cell: 0.0

abc: 6.4196 6.4196 6.4196
angles: 90.00 90.00 90.00
Space group Fm-3m (No. 225)
One atom of each set of equivalent atoms:
Sr: 0.0000 0.0000 0.0000 (multiplicity 4)
Mn: 0.0000 0.0000 0.5000 (multiplicity 4)
Ru: 0.2500 0.2500 0.2500 (multiplicity 8)

## two
Below is crystalline SrMnRu2 at its relaxed geometry, with properties calculated at the PBE-GGA level.

Total moment, μB/cell: 6.9

abc: 3.0212 4.9464 9.9648
angles: 90.00 90.00 90.00
Space group Imm2 (No. 44)
One atom of each set of equivalent atoms:
Sr: 0.0000 0.0000 0.0000 (multiplicity 2)
Mn: 0.0000 0.5000 0.7869 (multiplicity 2)
Ru: 0.0000 0.0000 0.5102 (multiplicity 2)
Ru: 0.0000 0.5000 0.2218 (multiplicity 2)

## three
Below is crystalline SrMnRu2 at its relaxed geometry, with properties calculated at the PBE-GGA level.

Total moment, μB/cell: 5.7

abc: 2.9489 5.0019 9.4986
angles: 90.00 90.00 90.00
Space group Immm (No. 71)
One atom of each set of equivalent atoms:
Sr: 0.0000 0.0000 0.0000 (multiplicity 2)
Mn: 0.0000 0.0000 0.5000 (multiplicity 2)
Ru: 0.0000 0.5000 0.2158 (multiplicity 4)

## four
Below is crystalline SrMnRu2 at its relaxed geometry, with properties calculated at the PBE-GGA level.

Total moment, μB/cell: 11.0

abc: 6.5940 6.5940 6.5940
angles: 90.00 90.00 90.00
Space group F-43m (No. 216)
One atom of each set of equivalent atoms:
Sr: 0.0000 0.0000 0.0000 (multiplicity 4)
Mn: 0.2500 0.2500 0.7500 (multiplicity 4)
Ru: 0.0000 0.0000 0.5000 (multiplicity 4)
Ru: 0.2500 0.2500 0.2500 (multiplicity 4)

Verdict on stability: one comes out at the bottom.

## one
Below is crystalline SrMn2Ru at its relaxed geometry, with properties calculated at the PBE-GGA level.

Total moment, μB/cell: 21.4

abc: 4.2981 4.2981 16.6893
angles: 90.00 90.00 120.00
Space group R-3m (No. 166, hexagonal axes)
One atom of each set of equivalent atoms:
Sr: 0.0000 0.0000 0.0000 (multiplicity 3)
Mn: 0.0000 0.0000 0.1972 (multiplicity 6)
Ru: 0.0000 0.0000 0.5000 (multiplicity 3)

## two
Below is crystalline SrMn2Ru at its relaxed geometry, with properties calculated at the PBE-GGA level.

Total moment, μB/cell: 15.7

abc: 5.9679 7.4043 3.3460
angles: 90.00 90.00 90.00
Space group Cmmm (No. 65)
One atom of each set of equivalent atoms:
Sr: 0.0000 0.0000 0.0000 (multiplicity 2)
Mn: 0.2500 0.2500 0.5000 (multiplicity 4)
Ru: 0.0000 0.5000 0.0000 (multiplicity 2)

## three
Below is crystalline SrMn2Ru at its relaxed geometry, with properties calculated at the PBE-GGA level.

Total moment, μB/cell: 16.4

abc: 3.1867 5.1613 9.9643
angles: 90.00 90.00 90.00
Space group Immm (No. 71)
One atom of each set of equivalent atoms:
Sr: 0.0000 0.0000 0.0000 (multiplicity 2)
Mn: 0.0000 0.5000 0.2041 (multiplicity 4)
Ru: 0.0000 0.0000 0.5000 (multiplicity 2)

Verdict on stability: two comes out at the bottom.

## one
Below is crystalline SrMn2Ru at its relaxed geometry, with properties calculated at the PBE-GGA level.

Total moment, μB/cell: 2.7

abc: 7.3396 4.2344 6.1348
angles: 90.00 113.40 90.00
Space group Cm (No. 8)
One atom of each set of equivalent atoms:
Sr: 0.0000 0.0000 0.0000 (multiplicity 2)
Mn: 0.1946 0.0000 0.5857 (multiplicity 2)
Mn: 0.4866 0.0000 0.4611 (multiplicity 2)
Ru: 0.3026 0.5000 0.4097 (multiplicity 2)

## two
Below is crystalline SrMn2Ru at its relaxed geometry, with properties calculated at the PBE-GGA level.

Total moment, μB/cell: 7.5

abc: 3.2128 3.2128 7.6615
angles: 90.00 90.00 90.00
Space group P4/mmm (No. 123)
One atom of each set of equivalent atoms:
Sr: 0.0000 0.0000 0.0000 (multiplicity 1)
Mn: 0.5000 0.5000 0.3266 (multiplicity 2)
Ru: 0.0000 0.0000 0.5000 (multiplicity 1)

Verdict on stability: two comes out at the bottom.

## one
Below is crystalline SrMn2Ru at its relaxed geometry, with properties calculated at the PBE-GGA level.

Total moment, μB/cell: 0.0

abc: 2.8185 4.0190 6.4476
angles: 90.00 96.98 90.00
Space group P2/m (No. 10)
One atom of each set of equivalent atoms:
Sr: 0.0000 0.0000 0.0000 (multiplicity 1)
Mn: 0.4820 0.5000 0.6489 (multiplicity 2)
Ru: 0.0000 0.0000 0.5000 (multiplicity 1)

## two
Below is crystalline SrMn2Ru at its relaxed geometry, with properties calculated at the PBE-GGA level.

Total moment, μB/cell: 0.0

abc: 6.3053 6.3053 6.3053
angles: 90.00 90.00 90.00
Space group Fm-3m (No. 225)
One atom of each set of equivalent atoms:
Sr: 0.0000 0.0000 0.0000 (multiplicity 4)
Mn: 0.2500 0.2500 0.2500 (multiplicity 8)
Ru: 0.0000 0.0000 0.5000 (multiplicity 4)

Verdict on stability: two comes out at the bottom.

## one
Below is crystalline SrMn2Ru at its relaxed geometry, with properties calculated at the PBE-GGA level.

Total moment, μB/cell: 22.8

abc: 4.9833 4.9833 15.9988
angles: 90.00 90.00 90.00
Space group I4_1/amd (No. 141, origin choice 2)
One atom of each set of equivalent atoms:
Sr: 0.0000 0.2500 0.3750 (multiplicity 4)
Mn: 0.0000 0.0000 0.0000 (multiplicity 8)
Ru: 0.0000 0.2500 0.8750 (multiplicity 4)

## two
Below is crystalline SrMn2Ru at its relaxed geometry, with properties calculated at the PBE-GGA level.

Total moment, μB/cell: 33.0

abc: 6.7300 6.7300 6.7300
angles: 90.00 90.00 90.00
Space group F-43m (No. 216)
One atom of each set of equivalent atoms:
Sr: 0.0000 0.0000 0.0000 (multiplicity 4)
Mn: 0.0000 0.0000 0.5000 (multiplicity 4)
Mn: 0.2500 0.2500 0.7500 (multiplicity 4)
Ru: 0.2500 0.2500 0.2500 (multiplicity 4)

Verdict on stability: two comes out at the bottom.

## one
Below is crystalline SrMn2Ru at its relaxed geometry, with properties calculated at the PBE-GGA level.

Total moment, μB/cell: 5.8

abc: 3.0918 3.0918 7.7007
angles: 90.00 90.00 90.00
Space group P4mm (No. 99)
One atom of each set of equivalent atoms:
Sr: 0.0000 0.0000 0.0000 (multiplicity 1)
Mn: 0.0000 0.0000 0.5335 (multiplicity 1)
Mn: 0.5000 0.5000 0.3413 (multiplicity 1)
Ru: 0.5000 0.5000 0.6969 (multiplicity 1)

## two
Below is crystalline SrMn2Ru at its relaxed geometry, with properties calculated at the PBE-GGA level.

Total moment, μB/cell: 20.9

abc: 3.0810 3.0810 28.2873
angles: 90.00 90.00 120.00
Space group R-3m (No. 166, hexagonal axes)
One atom of each set of equivalent atoms:
Sr: 0.0000 0.0000 0.0000 (multiplicity 3)
Mn: 0.0000 0.0000 0.2335 (multiplicity 6)
Ru: 0.0000 0.0000 0.5000 (multiplicity 3)

Verdict on stability: two comes out at the bottom.

## one
Below is crystalline TaMn2Ru at its relaxed geometry, with properties calculated at the PBE-GGA level.

Total moment, μB/cell: 3.0

abc: 3.0755 3.0755 5.9444
angles: 90.00 90.00 90.00
Space group P4mm (No. 99)
One atom of each set of equivalent atoms:
Ta: 0.0000 0.0000 0.0000 (multiplicity 1)
Mn: 0.0000 0.0000 0.4787 (multiplicity 1)
Mn: 0.5000 0.5000 0.2575 (multiplicity 1)
Ru: 0.5000 0.5000 0.7364 (multiplicity 1)

## two
Below is crystalline TaMn2Ru at its relaxed geometry, with properties calculated at the PBE-GGA level.

Total moment, μB/cell: 13.6

abc: 2.7569 2.7569 26.1485
angles: 90.00 90.00 120.00
Space group R3m (No. 160, hexagonal axes)
One atom of each set of equivalent atoms:
Ta: 0.0000 0.0000 0.0000 (multiplicity 3)
Mn: 0.0000 0.0000 0.2446 (multiplicity 3)
Mn: 0.0000 0.0000 0.5015 (multiplicity 3)
Ru: 0.0000 0.0000 0.7582 (multiplicity 3)

## three
Below is crystalline TaMn2Ru at its relaxed geometry, with properties calculated at the PBE-GGA level.

Total moment, μB/cell: 7.5

abc: 3.7219 3.7219 8.0864
angles: 90.00 90.00 90.00
Space group I-4m2 (No. 119)
One atom of each set of equivalent atoms:
Ta: 0.0000 0.0000 0.0000 (multiplicity 2)
Mn: 0.0000 0.0000 0.5000 (multiplicity 2)
Mn: 0.0000 0.5000 0.7500 (multiplicity 2)
Ru: 0.0000 0.5000 0.2500 (multiplicity 2)

Verdict on stability: two comes out at the bottom.

## one
Below is crystalline TaMn2Ru at its relaxed geometry, with properties calculated at the PBE-GGA level.

Total moment, μB/cell: 0.1

abc: 2.7457 3.9952 5.1456
angles: 90.00 104.37 90.00
Space group Pm (No. 6)
One atom of each set of equivalent atoms:
Ta: 0.0000 0.0000 0.0000 (multiplicity 1)
Mn: 0.6178 0.5000 0.2621 (multiplicity 1)
Mn: 0.6954 0.0000 0.4779 (multiplicity 1)
Ru: 0.3191 0.5000 0.7036 (multiplicity 1)

## two
Below is crystalline TaMn2Ru at its relaxed geometry, with properties calculated at the PBE-GGA level.

Total moment, μB/cell: 3.1

abc: 2.7425 2.7425 7.4120
angles: 90.00 90.00 90.00
Space group P4/mmm (No. 123)
One atom of each set of equivalent atoms:
Ta: 0.0000 0.0000 0.0000 (multiplicity 1)
Mn: 0.5000 0.5000 0.2707 (multiplicity 2)
Ru: 0.0000 0.0000 0.5000 (multiplicity 1)

## three
Below is crystalline TaMn2Ru at its relaxed geometry, with properties calculated at the PBE-GGA level.

Total moment, μB/cell: 6.9

abc: 3.0843 4.2147 8.5750
angles: 90.00 90.00 90.00
Space group Imm2 (No. 44)
One atom of each set of equivalent atoms:
Ta: 0.0000 0.0000 0.0000 (multiplicity 2)
Mn: 0.0000 0.0000 0.4979 (multiplicity 2)
Mn: 0.0000 0.5000 0.7585 (multiplicity 2)
Ru: 0.0000 0.5000 0.2450 (multiplicity 2)

## four
Below is crystalline TaMn2Ru at its relaxed geometry, with properties calculated at the PBE-GGA level.

Total moment, μB/cell: 11.6

abc: 6.0921 6.0921 6.0921
angles: 90.00 90.00 90.00
Space group F-43m (No. 216)
One atom of each set of equivalent atoms:
Ta: 0.0000 0.0000 0.0000 (multiplicity 4)
Mn: 0.0000 0.0000 0.5000 (multiplicity 4)
Mn: 0.2500 0.2500 0.7500 (multiplicity 4)
Ru: 0.2500 0.2500 0.2500 (multiplicity 4)

Verdict on stability: two comes out at the bottom.

## one
Below is crystalline TaMn2Ru at its relaxed geometry, with properties calculated at the PBE-GGA level.

Total moment, μB/cell: 4.2

abc: 4.2020 4.2020 3.1639
angles: 90.00 90.00 90.00
Space group P4/mmm (No. 123)
One atom of each set of equivalent atoms:
Ta: 0.0000 0.0000 0.0000 (multiplicity 1)
Mn: 0.0000 0.5000 0.5000 (multiplicity 2)
Ru: 0.5000 0.5000 0.0000 (multiplicity 1)

## two
Below is crystalline TaMn2Ru at its relaxed geometry, with properties calculated at the PBE-GGA level.

Total moment, μB/cell: 4.0

abc: 2.7374 4.0030 5.2653
angles: 90.00 102.50 90.00
Space group P2/m (No. 10)
One atom of each set of equivalent atoms:
Ta: 0.0000 0.0000 0.0000 (multiplicity 1)
Mn: 0.4953 0.5000 0.7382 (multiplicity 2)
Ru: 0.0000 0.0000 0.5000 (multiplicity 1)

Verdict on stability: two comes out at the bottom.

## one
Below is crystalline TaMn2Ru at its relaxed geometry, with properties calculated at the PBE-GGA level.

Total moment, μB/cell: 14.4

abc: 2.7810 2.7810 26.0096
angles: 90.00 90.00 120.00
Space group R-3m (No. 166, hexagonal axes)
One atom of each set of equivalent atoms:
Ta: 0.0000 0.0000 0.0000 (multiplicity 3)
Mn: 0.0000 0.0000 0.2457 (multiplicity 6)
Ru: 0.0000 0.0000 0.5000 (multiplicity 3)

## two
Below is crystalline TaMn2Ru at its relaxed geometry, with properties calculated at the PBE-GGA level.

Total moment, μB/cell: 7.7

abc: 5.2243 8.2323 2.7327
angles: 90.00 106.92 90.00
Space group C2/m (No. 12)
One atom of each set of equivalent atoms:
Ta: 0.0000 0.0000 0.0000 (multiplicity 2)
Mn: 0.2500 0.2500 0.5000 (multiplicity 4)
Ru: 0.0000 0.5000 0.0000 (multiplicity 2)

## three
Below is crystalline TaMn2Ru at its relaxed geometry, with properties calculated at the PBE-GGA level.

Total moment, μB/cell: 3.0

abc: 3.1025 4.2164 4.2973
angles: 90.00 90.00 90.00
Space group Pmmm (No. 47)
One atom of each set of equivalent atoms:
Ta: 0.0000 0.0000 0.0000 (multiplicity 1)
Mn: 0.0000 0.5000 0.5000 (multiplicity 1)
Mn: 0.5000 0.5000 0.0000 (multiplicity 1)
Ru: 0.5000 0.0000 0.5000 (multiplicity 1)

## four
Below is crystalline TaMn2Ru at its relaxed geometry, with properties calculated at the PBE-GGA level.

Total moment, μB/cell: 8.7

abc: 3.7200 3.7200 8.1639
angles: 90.00 90.00 90.00
Space group I4/mmm (No. 139)
One atom of each set of equivalent atoms:
Ta: 0.0000 0.0000 0.0000 (multiplicity 2)
Mn: 0.0000 0.5000 0.2500 (multiplicity 4)
Ru: 0.0000 0.0000 0.5000 (multiplicity 2)

Verdict on stability: one comes out at the bottom.